Entry 1:
DFT (GGA-PBEsol) results for MnCrTc3 after structural relaxation.

a b c (Å): 4.329 4.329 4.329
angles (deg): 90.00 90.00 90.00
Space group Pm-3m (No. 221)
Unique sites:
Mn  0.000  0.000  0.000 [1 per cell]
Cr  0.500  0.500  0.500 [1 per cell]
Tc  0.000  0.500  0.500 [3 per cell]

Summary:
total DFT energy (no corrections): -9.453 eV/atom
V: 81.12 Å³/cell
formation enthalpy at 0 K: 1.31 eV/atom

***

Entry 2:
DFT (GGA-PBEsol) results for Cs2SiSb after structural relaxation.

a b c (Å): 13.483 13.483 5.221
angles (deg): 90.00 90.00 90.00
Space group I-42d (No. 122)
Unique sites:
Cs  0.066  0.250  0.125 [8 per cell]
Si  0.000  0.000  0.000 [4 per cell]
Sb  0.000  0.000  0.500 [4 per cell]

Summary:
total DFT energy (no corrections): -2.944 eV/atom
V: 949.14 Å³/cell

***

Entry 3:
DFT (GGA-PBEsol) results for ReBiAsH2 after structural relaxation.

a b c (Å): 3.678 3.678 5.660
angles (deg): 90.00 90.00 90.00
Space group P4/mmm (No. 123)
Unique sites:
Re  0.000  0.000  0.000 [1 per cell]
Bi  0.000  0.000  0.500 [1 per cell]
As  0.500  0.500  0.000 [1 per cell]
H  0.000  0.500  0.500 [2 per cell]

Summary:
total DFT energy (no corrections): -5.048 eV/atom
V: 76.56 Å³/cell

***

Entry 4:
DFT (GGA-PBEsol) results for Nd12Ni6Sn after structural relaxation.

a b c (Å): 9.869 9.869 9.869
angles (deg): 90.00 90.00 90.00
Space group Im-3 (No. 204)
Unique sites:
Nd  0.000  0.306  0.186 [24 per cell]
Ni  0.000  0.122  0.500 [12 per cell]
Sn  0.000  0.000  0.000 [2 per cell]

Summary:
total DFT energy (no corrections): -5.725 eV/atom
V: 961.34 Å³/cell
formation enthalpy at 0 K: -0.29 eV/atom

***

Entry 5:
DFT (GGA-PBEsol) results for TlCrTc2 after structural relaxation.

a b c (Å): 3.157 4.395 8.671
angles (deg): 90.00 90.00 90.00
Space group Imm2 (No. 44)
Unique sites:
Tl  0.000  0.000  0.000 [2 per cell]
Cr  0.000  0.500  0.758 [2 per cell]
Tc  0.000  0.000  0.472 [2 per cell]
Tc  0.000  0.500  0.228 [2 per cell]

Summary:
total DFT energy (no corrections): -8.255 eV/atom
offset from the most stable computed form: 64 meV/atom
V: 120.33 Å³/cell
formation enthalpy at 0 K: 0.60 eV/atom

***

Entry 6:
DFT (GGA-PBEsol) results for TmClO after structural relaxation.

a b c (Å): 3.6951 3.6951 28.7494
angles (deg): 90.00 90.00 120.00
Space group R-3m (No. 166, hexagonal axes)
Unique sites:
Tm  0.0000  0.0000  0.2151 [6 per cell]
Cl  0.0000  0.0000  0.3923 [6 per cell]
O  0.0000  0.0000  0.1378 [6 per cell]

Summary:
total DFT energy (no corrections): -7.251 eV/atom
V: 339.95 Å³/cell

***

Entry 7:
DFT (GGA-PBEsol) results for Zr2ScFe after structural relaxation.

a b c (Å): 3.218 4.763 9.728
angles (deg): 90.00 90.00 90.00
Space group Imm2 (No. 44)
Unique sites:
Zr  0.000  0.000  0.000 [2 per cell]
Zr  0.000  0.500  0.206 [2 per cell]
Sc  0.000  0.000  0.412 [2 per cell]
Fe  0.000  0.500  0.701 [2 per cell]

Summary:
total DFT energy (no corrections): -8.513 eV/atom
offset from the most stable computed form: 23 meV/atom
V: 149.10 Å³/cell
formation enthalpy at 0 K: -0.08 eV/atom

***

Entry 8:
DFT (GGA-PBEsol) results for MgPbCl after structural relaxation.

a b c (Å): 3.4371 3.4371 7.6286
angles (deg): 90.00 90.00 120.00
Space group P3m1 (No. 156)
Unique sites:
Mg  0.0000  0.0000  0.0000 [1 per cell]
Pb  0.6667  0.3333  0.6646 [1 per cell]
Cl  0.3333  0.6667  0.1947 [1 per cell]

Summary:
total DFT energy (no corrections): -3.337 eV/atom
V: 78.05 Å³/cell

***

Entry 9:
DFT (GGA-PBEsol) results for TiAl3 after structural relaxation.

a b c (Å): 3.947 3.947 3.947
angles (deg): 90.00 90.00 90.00
Space group Pm-3m (No. 221)
Unique sites:
Ti  0.000  0.000  0.000 [1 per cell]
Al  0.000  0.500  0.500 [3 per cell]

Summary:
total DFT energy (no corrections): -5.522 eV/atom
V: 61.49 Å³/cell
formation enthalpy at 0 K: -0.37 eV/atom

***

Entry 10:
DFT (GGA-PBEsol) results for BiTePd after structural relaxation.

a b c (Å): 6.641 6.641 6.641
angles (deg): 90.00 90.00 90.00
Space group P2_13 (No. 198)
Unique sites:
Bi  0.133  0.367  0.633 [4 per cell]
Te  0.127  0.127  0.127 [4 per cell]
Pd  0.006  0.994  0.494 [4 per cell]

Summary:
total DFT energy (no corrections): -4.956 eV/atom
V: 292.94 Å³/cell

***

Entry 11:
DFT (GGA-PBEsol) results for Ca3CoCl after structural relaxation.

a b c (Å): 5.263 5.263 5.263
angles (deg): 90.00 90.00 90.00
Space group Pm-3m (No. 221)
Unique sites:
Ca  0.000  0.000  0.500 [3 per cell]
Co  0.000  0.000  0.000 [1 per cell]
Cl  0.500  0.500  0.500 [1 per cell]

Summary:
total DFT energy (no corrections): -3.405 eV/atom
V: 145.81 Å³/cell

***

Entry 12:
DFT (GGA-PBEsol) results for Bi4Se3 after structural relaxation.

a b c (Å): 4.2638 4.2638 39.4460
angles (deg): 90.00 90.00 120.00
Space group R-3m (No. 166, hexagonal axes)
Unique sites:
Bi  0.0000  0.0000  0.1444 [6 per cell]
Bi  0.0000  0.0000  0.2872 [6 per cell]
Se  0.0000  0.0000  0.0000 [3 per cell]
Se  0.0000  0.0000  0.4181 [6 per cell]

Summary:
total DFT energy (no corrections): -4.373 eV/atom
V: 621.04 Å³/cell

***

Entry 13:
DFT (GGA-PBEsol) results for NaY2Mn2 after structural relaxation.

a b c (Å): 3.227 3.227 21.855
angles (deg): 90.00 90.00 90.00
Space group I4/mmm (No. 139)
Unique sites:
Na  0.000  0.000  0.000 [2 per cell]
Y  0.000  0.000  0.359 [4 per cell]
Mn  0.000  0.500  0.250 [4 per cell]

Summary:
total DFT energy (no corrections): -6.480 eV/atom
V: 227.63 Å³/cell
formation enthalpy at 0 K: 0.43 eV/atom

***

Entry 14:
DFT (GGA-PBEsol) results for Fe2NiAu after structural relaxation.

a b c (Å): 8.664 2.703 4.391
angles (deg): 90.00 101.95 90.00
Space group C2/m (No. 12)
Unique sites:
Fe  0.244  0.000  0.228 [4 per cell]
Ni  0.000  0.500  0.000 [2 per cell]
Au  0.000  0.000  0.500 [2 per cell]

Summary:
total DFT energy (no corrections): -6.851 eV/atom
offset from the most stable computed form: 75 meV/atom
V: 100.60 Å³/cell
formation enthalpy at 0 K: 0.15 eV/atom

***

Entry 15:
DFT (GGA-PBEsol) results for NaBiI2N after structural relaxation.

a b c (Å): 6.310 6.310 4.174
angles (deg): 90.00 90.00 90.00
Space group P4/mmm (No. 123)
Unique sites:
Na  0.000  0.000  0.000 [1 per cell]
Bi  0.500  0.500  0.500 [1 per cell]
I  0.000  0.500  0.500 [2 per cell]
N  0.500  0.500  0.000 [1 per cell]

Summary:
total DFT energy (no corrections): -3.399 eV/atom
offset from the most stable computed form: 0 meV/atom
V: 166.21 Å³/cell

***

Entry 16:
DFT (GGA-PBEsol) results for LuAlB4 after structural relaxation.

a b c (Å): 5.870 11.381 3.465
angles (deg): 90.00 90.00 90.00
Space group Pbam (No. 55)
Unique sites:
Lu  0.130  0.150  0.000 [4 per cell]
Al  0.139  0.410  0.000 [4 per cell]
B  0.025  0.694  0.500 [4 per cell]
B  0.115  0.548  0.500 [4 per cell]
B  0.132  0.969  0.500 [4 per cell]
B  0.209  0.813  0.500 [4 per cell]

Summary:
total DFT energy (no corrections): -6.725 eV/atom
offset from the most stable computed form: 0 meV/atom
V: 231.51 Å³/cell
formation enthalpy at 0 K: -0.55 eV/atom

***

Entry 17:
DFT (GGA-PBEsol) results for Mg5Sc4 after structural relaxation.

a b c (Å): 9.395 9.395 4.676
angles (deg): 90.00 90.00 90.00
Space group I4/mmm (No. 139)
Unique sites:
Mg  0.000  0.000  0.000 [2 per cell]
Mg  0.166  0.166  0.500 [8 per cell]
Sc  0.000  0.335  0.000 [8 per cell]

Summary:
total DFT energy (no corrections): -3.917 eV/atom
offset from the most stable computed form: 0 meV/atom
V: 412.68 Å³/cell
formation enthalpy at 0 K: -0.03 eV/atom

***

Entry 18:
DFT (GGA-PBEsol) results for Mn2Zn after structural relaxation.

a b c (Å): 3.450 10.879 3.784
angles (deg): 90.00 90.00 90.00
Space group Cmcm (No. 63)
Unique sites:
Mn  0.000  0.099  0.250 [4 per cell]
Mn  0.000  0.255  0.750 [4 per cell]
Zn  0.000  0.419  0.250 [4 per cell]

Summary:
total DFT energy (no corrections): -6.898 eV/atom
V: 142.02 Å³/cell
formation enthalpy at 0 K: 0.14 eV/atom

***

Entry 19:
DFT (GGA-PBEsol) results for SiHgBr2 after structural relaxation.

a b c (Å): 4.741 4.888 8.950
angles (deg): 90.00 90.00 90.00
Space group Cmmm (No. 65)
Unique sites:
Si  0.000  0.000  0.000 [2 per cell]
Hg  0.000  0.000  0.500 [2 per cell]
Br  0.000  0.500  0.183 [4 per cell]

Summary:
total DFT energy (no corrections): -2.492 eV/atom
offset from the most stable computed form: 36 meV/atom
V: 207.40 Å³/cell

***

Entry 20:
DFT (GGA-PBEsol) results for MnSiRh2 after structural relaxation.

a b c (Å): 5.569 6.475 2.843
angles (deg): 90.00 90.00 90.00
Space group Cmmm (No. 65)
Unique sites:
Mn  0.000  0.000  0.000 [2 per cell]
Si  0.000  0.500  0.000 [2 per cell]
Rh  0.250  0.250  0.500 [4 per cell]

Summary:
total DFT energy (no corrections): -8.435 eV/atom
V: 102.51 Å³/cell